No. 1
This record from Alexandria describes a geometry-optimized Ca2AgHg2 structure. The functional is GGA-PBE.

Cell lengths 8.3314, 8.3314, 4.1213 Å; angles 90.00, 90.00, 90.00 degrees
Closest atoms and distances in Å follow each position.
Fractional coordinates of all 10 atoms:
Ca (0.3391, 0.8391, 0.0000)  2 Ag 3.13, 6 Hg 3.14-3.24
Hg (0.6382, 0.8618, 0.5000)  6 Ca 3.14-3.24, 1 Hg 3.26
Ag (0.5000, 0.5000, 0.0000)  4 Ca 3.13
Ca (0.6609, 0.1609, 0.0000)  2 Ag 3.13, 6 Hg 3.14-3.24
Hg (0.3618, 0.1382, 0.5000)  6 Ca 3.14-3.24, 1 Hg 3.26
Ca (0.1609, 0.3391, 0.0000)  2 Ag 3.13, 6 Hg 3.14-3.24
Hg (0.8618, 0.3618, 0.5000)  6 Ca 3.14-3.24, 1 Hg 3.26
Ag (0.0000, 0.0000, 0.0000)  4 Ca 3.13
Ca (0.8391, 0.6609, 0.0000)  2 Ag 3.13, 6 Hg 3.14-3.24
Hg (0.1382, 0.6382, 0.5000)  6 Ca 3.14-3.24, 1 Hg 3.26

Its space-group type is P4/mbm, No. 127. The calculated total energy comes out at -1.7331 eV/atom.

***

No. 2
This record from Alexandria describes a geometry-optimized CaAgHg3 structure. The functional is GGA-PBE.

Cell lengths 7.1270, 7.1270, 7.1270 Å; angles 90.00, 90.00, 90.00 degrees
Closest atoms and distances in Å follow each position.
Fractional coordinates of all 15 atoms:
Ag (0.0000, 0.0000, 0.5000)  8 Hg 2.99
Hg (0.5000, 0.5000, 0.5000)  8 Hg 3.41, 6 Ca 3.56
Hg (0.2240, 0.7760, 0.7760)  3 Ag 2.99, 3 Hg 3.19, 3 Ca 3.21
Hg (0.7760, 0.2240, 0.2240)  3 Ag 2.99, 3 Hg 3.19, 3 Ca 3.21
Ag (0.0000, 0.5000, 0.0000)  8 Hg 2.99
Hg (0.7760, 0.7760, 0.2240)  3 Ag 2.99, 3 Hg 3.19, 3 Ca 3.21
Ag (0.5000, 0.0000, 0.0000)  8 Hg 2.99
Hg (0.2240, 0.7760, 0.2240)  3 Ag 2.99, 3 Hg 3.19, 3 Ca 3.21
Hg (0.2240, 0.2240, 0.7760)  3 Ag 2.99, 3 Hg 3.19, 3 Ca 3.21
Hg (0.7760, 0.2240, 0.7760)  3 Ag 2.99, 3 Hg 3.19, 3 Ca 3.21
Hg (0.2240, 0.2240, 0.2240)  3 Ag 2.99, 3 Hg 3.19, 3 Ca 3.21
Ca (0.5000, 0.0000, 0.5000)  10 Hg 3.21-3.56, 4 Ag 3.56
Ca (0.5000, 0.5000, 0.0000)  10 Hg 3.21-3.56, 4 Ag 3.56
Hg (0.7760, 0.7760, 0.7760)  3 Ag 2.99, 3 Hg 3.19, 3 Ca 3.21
Ca (0.0000, 0.5000, 0.5000)  10 Hg 3.21-3.56, 4 Ag 3.56

Its space-group type is Pm-3m, No. 221. The calculated total energy comes out at -1.4492 eV/atom.

***

Please write out number 1 again, unchanged.
This record from Alexandria describes a geometry-optimized Ca2AgHg2 structure. The functional is GGA-PBE.

Cell lengths 8.3314, 8.3314, 4.1213 Å; angles 90.00, 90.00, 90.00 degrees
Closest atoms and distances in Å follow each position.
Fractional coordinates of all 10 atoms:
Ca (0.3391, 0.8391, 0.0000)  2 Ag 3.13, 6 Hg 3.14-3.24
Hg (0.6382, 0.8618, 0.5000)  6 Ca 3.14-3.24, 1 Hg 3.26
Ag (0.5000, 0.5000, 0.0000)  4 Ca 3.13
Ca (0.6609, 0.1609, 0.0000)  2 Ag 3.13, 6 Hg 3.14-3.24
Hg (0.3618, 0.1382, 0.5000)  6 Ca 3.14-3.24, 1 Hg 3.26
Ca (0.1609, 0.3391, 0.0000)  2 Ag 3.13, 6 Hg 3.14-3.24
Hg (0.8618, 0.3618, 0.5000)  6 Ca 3.14-3.24, 1 Hg 3.26
Ag (0.0000, 0.0000, 0.0000)  4 Ca 3.13
Ca (0.8391, 0.6609, 0.0000)  2 Ag 3.13, 6 Hg 3.14-3.24
Hg (0.1382, 0.6382, 0.5000)  6 Ca 3.14-3.24, 1 Hg 3.26

Its space-group type is P4/mbm, No. 127. The calculated total energy comes out at -1.7331 eV/atom.

***

Question: Look up the calculated total energy of the second one.
Answer: -1.4492 eV/atom

***

Question: Which of these has the lowest calculated total energy?
Answer: Ca2AgHg2

***

Question: What is the formula in the first record?
Answer: Ca2AgHg2